# SCAN K2CrRu, single point on PBEsol structure
# - Calculated formation energy: 1.18 eV per atom
# - Distance to the lowest polymorph of the same formula: 0.007 eV/atom
# - Fermi-level density of states: 3.4 states/eV per cell
# - Magnetic moment: 3.1 μB/f.u.
data_K2CrRu
_cell_length_a 3.878
_cell_length_b 3.878
_cell_length_c 5.630
_cell_angle_alpha 90.00
_cell_angle_beta 90.00
_cell_angle_gamma 90.00
_symmetry_space_group_name_H-M 'P 4/m m m'
_symmetry_Int_Tables_number 123
_symmetry_space_group_name_Hall '-P 4 2'
loop_
_atom_site_label
_atom_site_type_symbol
_atom_site_fract_x
_atom_site_fract_y
_atom_site_fract_z
K1 K 0.000 0.500 0.000
Cr1 Cr 0.000 0.000 0.500
Ru1 Ru 0.500 0.500 0.500